P.
Below is a relaxed Sc3OsN crystal, with properties calculated at the PBE level.

a = 4.338 Å, b = 4.338 Å, c = 4.338 Å
α = 90.00°, β = 90.00°, γ = 90.00°
Element x y z (fractional)
Sc 0.000 0.000 0.500
Sc 0.000 0.500 0.000
Sc 0.500 0.000 0.000
Os 0.500 0.500 0.500
N 0.000 0.000 0.000

Properties
- Total magnetic moment: 0.00 μB per formula unit



Q.
Below is a relaxed Sc3OsN crystal, with properties calculated at the PBE level.

a = 4.951 Å, b = 4.951 Å, c = 4.951 Å
α = 90.00°, β = 90.00°, γ = 90.00°
Element x y z (fractional)
Sc 0.000 0.000 0.500
Sc 0.000 0.500 0.000
Sc 0.500 0.000 0.000
Os 0.000 0.000 0.000
N 0.500 0.500 0.500

Properties
- Total magnetic moment: 0.00 μB per formula unit



What are the relative energies? In meV per atom: P 0; Q 1718.



P.
Below is a relaxed ScOs2N2 crystal, with properties calculated at the PBE level.

a = 5.913 Å, b = 5.913 Å, c = 3.798 Å
α = 90.00°, β = 90.00°, γ = 90.00°
Element x y z (fractional)
Sc 0.000 0.000 0.000
Sc 0.500 0.500 0.000
Os 0.159 0.341 0.500
Os 0.341 0.841 0.500
Os 0.659 0.159 0.500
Os 0.841 0.659 0.500
N 0.162 0.338 0.000
N 0.338 0.838 0.000
N 0.662 0.162 0.000
N 0.838 0.662 0.000

Properties
- Total magnetic moment: 0.00 μB per formula unit



Q.
Below is a relaxed ScOs2N2 crystal, with properties calculated at the PBE level.

a = 5.382 Å, b = 5.382 Å, c = 5.382 Å
α = 138.71°, β = 138.71°, γ = 59.81°
Element x y z (fractional)
Sc 0.000 0.000 0.000
Os 0.250 0.750 0.500
Os 0.750 0.250 0.500
N 0.351 0.351 0.000
N 0.649 0.649 0.000

Properties
- Total magnetic moment: 0.00 μB per formula unit



What are the relative energies? In meV per atom: P 0; Q 727.



P.
Below is a relaxed ScOsSe2N crystal, with properties calculated at the PBE level.

a = 5.129 Å, b = 5.129 Å, c = 3.881 Å
α = 90.00°, β = 90.00°, γ = 90.00°
Element x y z (fractional)
Sc 0.000 0.000 0.000
Os 0.500 0.500 0.500
Se 0.000 0.500 0.000
Se 0.500 0.000 0.000
N 0.000 0.000 0.500

Properties
- Total magnetic moment: 3.73 μB per formula unit



Q.
Below is a relaxed ScOsSe2N crystal, with properties calculated at the PBE level.

a = 5.092 Å, b = 5.092 Å, c = 3.692 Å
α = 90.00°, β = 90.00°, γ = 90.00°
Element x y z (fractional)
Sc 0.000 0.000 0.000
Os 0.500 0.500 0.500
Se 0.000 0.500 0.500
Se 0.500 0.000 0.500
N 0.500 0.500 0.000

Properties
- Total magnetic moment: 0.00 μB per formula unit



What are the relative energies? In meV per atom: P 1166; Q 0.



P.
Below is a relaxed ScTeOsN2 crystal, with properties calculated at the PBE level.

a = 4.027 Å, b = 4.027 Å, c = 6.042 Å
α = 90.00°, β = 90.00°, γ = 90.00°
Element x y z (fractional)
Sc 0.000 0.000 0.000
Te 0.000 0.000 0.500
Os 0.500 0.500 0.500
N 0.000 0.500 0.000
N 0.500 0.000 0.000

Properties
- Total magnetic moment: 3.67 μB per formula unit



Q.
Below is a relaxed ScTeOsN2 crystal, with properties calculated at the PBE level.

a = 3.911 Å, b = 3.911 Å, c = 5.630 Å
α = 90.00°, β = 90.00°, γ = 90.00°
Element x y z (fractional)
Sc 0.000 0.000 0.000
Te 0.500 0.500 0.000
Os 0.500 0.500 0.500
N 0.000 0.500 0.500
N 0.500 0.000 0.500

Properties
- Total magnetic moment: 0.00 μB per formula unit



What are the relative energies? In meV per atom: P 1104; Q 0.